Entry 1:
{
  "formula": "TaTl3Tc",
  "functional": "PBE",
  "state": "optimized geometry",
  "mass_density_g_cm3": 10.47,
  "de_polymorph_mev_per_atom": 37,
  "ef_mev_per_atom": 1598,
  "lattice": [[5.211, 0.000, 0.000], [0.000, 5.211, 0.000], [0.000, 0.000, 5.211]],
  "species": ["Ta", "Tl", "Tl", "Tl", "Tc"],
  "fractional_positions": [[0.000, 0.000, 0.000], [0.000, 0.500, 0.500], [0.500, 0.000, 0.500], [0.500, 0.500, 0.000], [0.500, 0.500, 0.500]]
}


Entry 2:
{
  "formula": "Zr3Ga3Co2",
  "functional": "PBE",
  "state": "optimized geometry",
  "mass_density_g_cm3": 7.39,
  "de_polymorph_mev_per_atom": 12,
  "ef_mev_per_atom": -502,
  "lattice": [[7.419, 0.000, 0.000], [0.000, 13.663, 0.000], [0.000, 0.000, 5.327]],
  "species": ["Zr", "Zr", "Zr", "Zr", "Zr", "Zr", "Zr", "Zr", "Zr", "Zr", "Zr", "Zr", "Ga", "Ga", "Ga", "Ga", "Ga", "Ga", "Ga", "Ga", "Ga", "Ga", "Ga", "Ga", "Co", "Co", "Co", "Co", "Co", "Co", "Co", "Co"],
  "fractional_positions": [[0.030, 0.113, 0.111], [0.030, 0.387, 0.111], [0.173, 0.250, 0.637], [0.327, 0.750, 0.137], [0.470, 0.613, 0.611], [0.470, 0.887, 0.611], [0.530, 0.113, 0.389], [0.530, 0.387, 0.389], [0.673, 0.250, 0.863], [0.827, 0.750, 0.363], [0.970, 0.613, 0.889], [0.970, 0.887, 0.889], [0.181, 0.750, 0.629], [0.184, 0.032, 0.599], [0.184, 0.468, 0.599], [0.316, 0.532, 0.099], [0.316, 0.968, 0.099], [0.319, 0.250, 0.129], [0.681, 0.750, 0.871], [0.684, 0.032, 0.901], [0.684, 0.468, 0.901], [0.816, 0.532, 0.401], [0.816, 0.968, 0.401], [0.819, 0.250, 0.371], [0.097, 0.614, 0.352], [0.097, 0.886, 0.352], [0.403, 0.114, 0.852], [0.403, 0.386, 0.852], [0.597, 0.614, 0.148], [0.597, 0.886, 0.148], [0.903, 0.114, 0.648], [0.903, 0.386, 0.648]]
}


Entry 3:
{
  "formula": "MgNbAu",
  "functional": "PBE",
  "state": "optimized geometry",
  "mass_density_g_cm3": 9.57,
  "ef_mev_per_atom": -216,
  "lattice": [[4.385, 0.000, 0.000], [0.000, 3.393, 0.000], [-2.171, 0.000, 7.326]],
  "species": ["Mg", "Mg", "Nb", "Nb", "Au", "Au"],
  "fractional_positions": [[0.176, 0.000, 0.352], [0.824, 0.000, 0.648], [0.000, 0.500, 0.000], [0.500, 0.000, 0.000], [0.340, 0.500, 0.680], [0.660, 0.500, 0.320]]
}


Entry 4:
{
  "formula": "CuAs2Pd7",
  "functional": "PBE",
  "state": "optimized geometry",
  "mass_density_g_cm3": 9.82,
  "ef_mev_per_atom": -266,
  "lattice": [[-2.011, 2.011, 10.022], [2.011, -2.011, 10.022], [2.011, 2.011, -10.022]],
  "species": ["Cu", "As", "As", "Pd", "Pd", "Pd", "Pd", "Pd", "Pd", "Pd"],
  "fractional_positions": [[0.000, 0.000, 0.000], [0.331, 0.331, 0.000], [0.669, 0.669, 0.000], [0.096, 0.596, 0.500], [0.250, 0.750, 0.500], [0.404, 0.904, 0.500], [0.500, 0.500, 0.000], [0.596, 0.096, 0.500], [0.750, 0.250, 0.500], [0.904, 0.404, 0.500]]
}


Entry 5:
{
  "formula": "SrCaGa2Au5",
  "functional": "PBE",
  "state": "optimized geometry",
  "mass_density_g_cm3": 10.49,
  "ef_mev_per_atom": -512,
  "lattice": [[4.772, 0.000, 0.000], [0.000, 4.772, 0.000], [0.000, 0.000, 8.702]],
  "species": ["Sr", "Ca", "Ga", "Ga", "Au", "Au", "Au", "Au", "Au"],
  "fractional_positions": [[0.000, 0.000, 0.000], [0.000, 0.000, 0.500], [0.500, 0.500, 0.352], [0.500, 0.500, 0.648], [0.000, 0.500, 0.242], [0.000, 0.500, 0.758], [0.500, 0.000, 0.242], [0.500, 0.000, 0.758], [0.500, 0.500, 0.000]]
}


Entry 6:
{
  "formula": "Sr2TlTc",
  "functional": "PBE",
  "state": "optimized geometry",
  "mass_density_g_cm3": 7.12,
  "de_polymorph_mev_per_atom": 231,
  "ef_mev_per_atom": 582,
  "lattice": [[7.636, 0.000, 0.000], [0.000, 7.636, 0.000], [0.000, 0.000, 7.636]],
  "species": ["Sr", "Sr", "Sr", "Sr", "Sr", "Sr", "Sr", "Sr", "Tl", "Tl", "Tl", "Tl", "Tc", "Tc", "Tc", "Tc"],
  "fractional_positions": [[0.000, 0.000, 0.000], [0.000, 0.500, 0.500], [0.250, 0.250, 0.250], [0.250, 0.750, 0.750], [0.500, 0.000, 0.500], [0.500, 0.500, 0.000], [0.750, 0.250, 0.750], [0.750, 0.750, 0.250], [0.250, 0.250, 0.750], [0.250, 0.750, 0.250], [0.750, 0.250, 0.250], [0.750, 0.750, 0.750], [0.000, 0.000, 0.500], [0.000, 0.500, 0.000], [0.500, 0.000, 0.000], [0.500, 0.500, 0.500]]
}


Entry 7:
{
  "formula": "Na2MgIn3Br6",
  "functional": "PBE",
  "state": "optimized geometry",
  "mass_density_g_cm3": 3.99,
  "raw_formation_energy_mev_per_atom": -1006,
  "lattice": [[3.548, -6.211, 0.000], [3.548, 6.211, 0.000], [-2.537, 0.000, 8.437]],
  "species": ["Na", "Na", "Mg", "In", "In", "In", "Br", "Br", "Br", "Br", "Br", "Br"],
  "fractional_positions": [[0.160, 0.840, 0.000], [0.840, 0.160, 0.000], [0.500, 0.500, 0.000], [0.199, 0.801, 0.500], [0.500, 0.500, 0.500], [0.801, 0.199, 0.500], [0.123, 0.123, 0.793], [0.253, 0.559, 0.181], [0.441, 0.747, 0.819], [0.559, 0.253, 0.181], [0.747, 0.441, 0.819], [0.877, 0.877, 0.207]]
}


Entry 8:
{
  "formula": "Fe7Mo",
  "functional": "PBE",
  "state": "optimized geometry",
  "mass_density_g_cm3": 9.01,
  "ef_mev_per_atom": 170,
  "lattice": [[0.000, 3.553, 3.553], [3.553, 0.000, 3.553], [3.553, 3.553, 0.000]],
  "species": ["Fe", "Fe", "Fe", "Fe", "Fe", "Fe", "Fe", "Mo"],
  "fractional_positions": [[0.000, 0.000, 0.000], [0.000, 0.000, 0.500], [0.000, 0.500, 0.000], [0.000, 0.500, 0.500], [0.500, 0.000, 0.000], [0.500, 0.000, 0.500], [0.500, 0.500, 0.000], [0.500, 0.500, 0.500]]
}


| no. | volume (Å³ per cell) | N(E_F) (states/eV/cell) | spin magnetization (μB per cell) |
| --- | --- | --- | --- |
| 1 | 141.48 | 7.31 | 0.001 |
| 2 | 540.00 | 28.07 | 0.001 |
| 3 | 108.99 | 3.38 | 0.000 |
| 4 | 162.08 | 5.29 | 0.000 |
| 5 | 198.13 | 3.96 | 0.000 |
| 6 | 445.31 | 31.18 | 10.207 |
| 7 | 371.79 | 2.57 | 0.000 |
| 8 | 89.68 | 8.85 | 5.809 |